Entry 1:
First-principles (GGA-PBE) data for crystalline Ag7AsS6 at its relaxed geometry, as listed in OQMD via LeMat-Bulk.

Unit cell a=10.6108 b=10.6108 c=10.6108 alpha=90.00 beta=90.00 gamma=90.00
Positions (direct):
S 0.2331 0.7331 0.7669
S 0.7331 0.7669 0.2331
S 0.6186 0.1186 0.3814
S 0.3814 0.6186 0.1186
S 0.3710 0.1193 0.6151
S 0.1151 0.1290 0.8807
S 0.4696 0.0304 0.9696
S 0.3849 0.8710 0.3807
S 0.1186 0.3814 0.6186
S 0.1290 0.8807 0.1151
S 0.5304 0.5304 0.5304
S 0.8710 0.3807 0.3849
S 0.8814 0.8814 0.8814
S 0.3807 0.3849 0.8710
S 0.6151 0.3710 0.1193
S 0.6290 0.6193 0.8849
S 0.6193 0.8849 0.6290
S 0.1193 0.6151 0.3710
S 0.8807 0.1151 0.1290
S 0.9696 0.4696 0.0304
S 0.7669 0.2331 0.7331
S 0.0304 0.9696 0.4696
S 0.2669 0.2669 0.2669
S 0.8849 0.6290 0.6193
Ag 0.7632 0.2577 0.9714
Ag 0.6009 0.8991 0.1009
Ag 0.8495 0.6754 0.0122
Ag 0.3991 0.3991 0.3991
Ag 0.4714 0.7368 0.7423
Ag 0.7577 0.5286 0.2368
Ag 0.0122 0.8495 0.6754
Ag 0.2368 0.7577 0.5286
Ag 0.0286 0.2632 0.2423
Ag 0.1009 0.6009 0.8991
Ag 0.2423 0.0286 0.2632
Ag 0.2632 0.2423 0.0286
Ag 0.6505 0.3246 0.5122
Ag 0.4878 0.1505 0.1754
Ag 0.2577 0.9714 0.7632
Ag 0.6754 0.0122 0.8495
Ag 0.5286 0.2368 0.7577
Ag 0.8991 0.1009 0.6009
Ag 0.9878 0.3495 0.8246
Ag 0.7423 0.4714 0.7368
Ag 0.8246 0.9878 0.3495
Ag 0.5122 0.6505 0.3246
Ag 0.3495 0.8246 0.9878
Ag 0.3246 0.5122 0.6505
Ag 0.1754 0.4878 0.1505
Ag 0.9714 0.7632 0.2577
Ag 0.1505 0.1754 0.4878
Ag 0.7368 0.7423 0.4714
As 0.9973 0.5027 0.4973
As 0.4973 0.9973 0.5027
As 0.0027 0.0027 0.0027
As 0.5027 0.4973 0.9973

The volume comes out at 21.33 Å³ per atom. As for the uncorrected energy: -3.5861 eV per atom.

---

Entry 2:
First-principles (GGA-PBE) data for crystalline Ag3AsSe2S2 at its relaxed geometry, as listed in OQMD via LeMat-Bulk.

Unit cell a=7.0884 b=7.0884 c=5.9048 alpha=113.82 beta=113.82 gamma=49.07
Positions (direct):
Ag 0.2482 0.2512 0.7735
Ag 0.7488 0.7518 0.2265
Ag 0.4853 0.5147 0.5000
Se 0.6534 0.1043 0.6504
Se 0.8957 0.3466 0.3496
S 0.3421 0.8845 0.8888
S 0.1155 0.6579 0.1112
As 0.0110 0.9890 0.0000

The volume comes out at 25.11 Å³ per atom. As for the uncorrected energy: -3.6208 eV per atom.

---

Entry 3:
First-principles (GGA-PBE) data for crystalline AgSbAs at its relaxed geometry, as listed in OQMD via LeMat-Bulk.

Unit cell a=4.1781 b=4.1781 c=7.6743 alpha=90.00 beta=90.00 gamma=90.00
Positions (direct):
As 0.7500 0.7500 0.7048
As 0.2500 0.2500 0.2952
Sb 0.2500 0.2500 0.6849
Sb 0.7500 0.7500 0.3151
Ag 0.7500 0.2500 0.0000
Ag 0.2500 0.7500 0.0000

The volume comes out at 22.33 Å³ per atom. As for the uncorrected energy: -3.7175 eV per atom.

---

Entry 4:
First-principles (GGA-PBE) data for crystalline AgSbAs at its relaxed geometry, as listed in OQMD via LeMat-Bulk.

Unit cell a=4.7873 b=4.7873 c=4.7873 alpha=60.00 beta=60.00 gamma=60.00
Positions (direct):
Sb 0.2500 0.2500 0.2500
Ag 0.0000 0.0000 0.0000
As 0.5000 0.5000 0.5000

The volume comes out at 25.86 Å³ per atom. As for the uncorrected energy: -3.5459 eV per atom.

---

Entry 5:
First-principles (GGA-PBE) data for crystalline AgSb2As at its relaxed geometry, as listed in OQMD via LeMat-Bulk.

Unit cell a=5.0841 b=5.0841 c=5.0841 alpha=60.00 beta=60.00 gamma=60.00
Positions (direct):
Sb 0.5000 0.5000 0.5000
Sb 0.2500 0.2500 0.2500
As 0.0000 0.0000 0.0000
Ag 0.7500 0.7500 0.7500

The volume comes out at 23.23 Å³ per atom. As for the uncorrected energy: -3.6079 eV per atom.

---

Entry 6:
First-principles (GGA-PBE) data for crystalline AgSbAs2 at its relaxed geometry, as listed in OQMD via LeMat-Bulk.

Unit cell a=4.9213 b=4.9213 c=4.9213 alpha=60.00 beta=60.00 gamma=60.00
Positions (direct):
Ag 0.5000 0.5000 0.5000
Sb 0.7500 0.7500 0.7500
As 0.2500 0.2500 0.2500
As 0.0000 0.0000 0.0000

The volume comes out at 21.07 Å³ per atom. As for the uncorrected energy: -3.7004 eV per atom.

---

Entry 7:
First-principles (GGA-PBE) data for crystalline SrAg2SbAs at its relaxed geometry, as listed in OQMD via LeMat-Bulk.

Unit cell a=4.6633 b=4.6633 c=11.2126 alpha=90.00 beta=90.00 gamma=90.00
Positions (direct):
Sr 0.5000 0.0000 0.7338
Sr 0.0000 0.5000 0.2662
Ag 0.5000 0.0000 0.3836
Ag 0.5000 0.5000 0.0000
Ag 0.0000 0.5000 0.6164
Ag 0.0000 0.0000 0.0000
As 0.5000 0.5000 0.5000
As 0.0000 0.0000 0.5000
Sb 0.0000 0.5000 0.8568
Sb 0.5000 0.0000 0.1432

The volume comes out at 24.38 Å³ per atom. As for the uncorrected energy: -3.6557 eV per atom.

---

Entry 8:
First-principles (GGA-PBE) data for crystalline ScAgAs2 at its relaxed geometry, as listed in OQMD via LeMat-Bulk.

Unit cell a=4.7585 b=4.7585 c=4.7585 alpha=60.00 beta=60.00 gamma=60.00
Positions (direct):
As 0.2500 0.2500 0.2500
As 0.0000 0.0000 0.0000
Sc 0.7500 0.7500 0.7500
Ag 0.5000 0.5000 0.5000

The volume comes out at 19.05 Å³ per atom. The calculation puts the total magnetic moment at 0.00 μB/f.u. As for the uncorrected energy: -4.7589 eV per atom.

---

Entry 9:
First-principles (GGA-PBE) data for crystalline Sc3AgAs at its relaxed geometry, as listed in OQMD via LeMat-Bulk.

Unit cell a=6.9082 b=6.9085 c=6.9748 alpha=60.56 beta=60.85 gamma=60.64
Positions (direct):
Sc 0.8337 0.1709 0.6665
Sc 0.1727 0.3295 0.8340
Sc 0.6258 0.2484 0.2494
Sc 0.3742 0.7516 0.7506
Sc 0.8273 0.6705 0.1660
Sc 0.1663 0.8291 0.3335
As 0.0000 0.0000 0.0000
As 0.5000 0.5000 0.5000
Ag 0.7768 0.7472 0.7477
Ag 0.2232 0.2528 0.2523

The volume comes out at 23.90 Å³ per atom. The calculation puts the total magnetic moment at 0.06 μB/f.u. As for the uncorrected energy: -5.7467 eV per atom.

---

Entry 10:
First-principles (GGA-PBE) data for crystalline Sc2Ag6As at its relaxed geometry, as listed in OQMD via LeMat-Bulk.

Unit cell a=5.3120 b=5.3120 c=9.0309 alpha=111.39 beta=111.39 gamma=44.31
Positions (direct):
Ag 0.8264 0.8264 0.4445
Ag 0.1780 0.1780 0.8815
Ag 0.4908 0.4908 0.3377
Ag 0.8220 0.8220 0.1185
Ag 0.5092 0.5092 0.6623
Ag 0.1736 0.1736 0.5555
As 0.5000 0.5000 0.0000
Sc 0.8535 0.8535 0.7890
Sc 0.1465 0.1465 0.2110

The volume comes out at 18.18 Å³ per atom. The calculation puts the total magnetic moment at 0.02 μB/f.u. As for the uncorrected energy: -4.1010 eV per atom.

---

Entry 11:
First-principles (GGA-PBE) data for crystalline ScAgAs at its relaxed geometry, as listed in OQMD via LeMat-Bulk.

Unit cell a=4.5270 b=4.5270 c=4.5270 alpha=60.00 beta=60.00 gamma=60.00
Positions (direct):
Ag 0.2500 0.2500 0.2500
Sc 0.0000 0.0000 0.0000
As 0.7500 0.7500 0.7500

The volume comes out at 21.87 Å³ per atom. The calculation puts the total magnetic moment at 0.00 μB/f.u. As for the uncorrected energy: -5.0232 eV per atom.

---

Entry 12:
First-principles (GGA-PBE) data for crystalline Ag3AsSe4 at its relaxed geometry, as listed in OQMD via LeMat-Bulk.

Unit cell a=8.1501 b=7.3762 c=6.8340 alpha=90.00 beta=90.00 gamma=90.00
Positions (direct):
Ag 0.2858 0.7905 0.9680
Ag 0.2142 0.2095 0.4680
Ag 0.7142 0.7905 0.9680
Ag 0.0000 0.3449 0.0692
Ag 0.7858 0.2095 0.4680
Ag 0.5000 0.6551 0.5692
As 0.0000 0.6880 0.4963
As 0.5000 0.3120 0.9963
Se 0.7351 0.1411 0.0975
Se 0.2649 0.1411 0.0975
Se 0.0000 0.4018 0.6594
Se 0.5000 0.3054 0.6461
Se 0.2351 0.8589 0.5975
Se 0.0000 0.6946 0.1461
Se 0.7649 0.8589 0.5975
Se 0.5000 0.5982 0.1594

The volume comes out at 25.68 Å³ per atom. As for the uncorrected energy: -3.4613 eV per atom.

---

Which of these has the highest uncorrected energy? Ag3AsSe4